A relaxed structure of Ce2GaTe5. Source: Alexandria via LeMat-Bulk, functional PBE.

POSCAR file:
```
Ce2GaTe5
1.0
8.497 0.000 0.000
0.000 12.980 0.000
0.000 0.000 4.302
Ce Ga Te
4 2 10
Cartesian
0.273 2.298 0.000
3.976 8.788 0.000
4.521 4.192 0.000
8.225 10.682 0.000
0.000 6.490 2.151
4.249 0.000 2.151
0.000 0.000 2.151
1.459 5.279 0.000
1.490 8.996 2.151
2.759 2.506 2.151
2.790 11.769 0.000
4.249 6.490 2.151
5.708 1.210 0.000
5.738 10.474 2.151
7.008 3.984 2.151
7.038 7.700 0.000
```

Summary:
raw formation energy: -0.9500 eV per atom

---

A relaxed structure of Ce2GaTe. Source: Alexandria via LeMat-Bulk, functional PBE.

POSCAR file:
```
Ce2GaTe
1.0
2.185 1.261 7.200
-2.185 1.261 7.200
0.000 -2.523 7.200
Ce Ga Te
2 1 1
Cartesian
0.000 0.000 5.272
0.000 0.000 16.327
0.000 0.000 10.800
0.000 0.000 0.000
```

Summary:
raw formation energy: -0.8044 eV per atom
distance to the lowest polymorph of the same formula: 77 meV/atom

---

A relaxed structure of Ce3GaTe. Source: Alexandria via LeMat-Bulk, functional PBE.

POSCAR file:
```
Ce3GaTe
1.0
7.711 0.000 0.000
0.000 4.663 0.000
-1.780 0.000 7.685
Ce Ga Te
6 2 2
Cartesian
-0.517 1.166 2.706
-0.955 3.497 7.671
3.375 1.166 1.575
2.555 3.497 6.110
6.885 1.166 0.014
6.448 3.497 4.979
0.443 1.166 6.236
5.488 3.497 1.448
1.613 3.497 3.048
4.318 1.166 4.637
```

Summary:
raw formation energy: -0.6358 eV per atom

---

A relaxed structure of Ce4GaTe. Source: Alexandria via LeMat-Bulk, functional PBE.

POSCAR file:
```
Ce4GaTe
1.0
4.130 0.000 0.000
0.000 4.130 0.000
0.000 0.000 9.455
Ce Ga Te
4 1 1
Cartesian
0.000 0.000 1.337
0.000 0.000 8.118
2.065 2.065 3.384
2.065 2.065 6.070
0.000 0.000 4.727
2.065 2.065 0.000
```

Summary:
raw formation energy: -0.5119 eV per atom

---

> Look up the raw formation energy of the first one.

-0.9500 eV per atom